KB3SeO7: relaxed, PBEsol.

Results
**Calculated volume**: 14.683 A^3/atom
**Formation energy from raw total energies**: -24.34 eV per formula unit

abc: 4.6135 17.7125 8.6884
angles: 90.00 96.95 90.00
Closest atoms and distances in Å follow each position.
Fractional positions:
K: 0.1636 0.1046 0.4265  6 O 2.66-2.86
K: 0.1636 0.3954 0.9265  6 O 2.66-2.86
K: 0.8364 0.6046 0.0735  6 O 2.66-2.86
K: 0.8364 0.8954 0.5735  6 O 2.66-2.86
B: 0.0255 0.6876 0.5144  3 O 1.36-1.39
B: 0.0255 0.8124 0.0144  3 O 1.36-1.39
B: 0.0267 0.7372 0.7716  3 O 1.35-1.39
B: 0.0267 0.7628 0.2716  3 O 1.35-1.39
B: 0.1931 0.6063 0.7393  4 O 1.47-1.49
B: 0.1931 0.8937 0.2393  4 O 1.47-1.49
B: 0.8069 0.1063 0.7607  4 O 1.47-1.49
B: 0.8069 0.3937 0.2607  4 O 1.47-1.49
B: 0.9733 0.2372 0.7284  3 O 1.35-1.39
B: 0.9733 0.2628 0.2284  3 O 1.35-1.39
B: 0.9745 0.1876 0.9856  3 O 1.36-1.39
B: 0.9745 0.3124 0.4856  3 O 1.36-1.39
Se: 0.3175 0.0166 0.8104  3 O 1.64-1.79
Se: 0.3175 0.4834 0.3104  3 O 1.64-1.79
Se: 0.6825 0.5166 0.6896  3 O 1.64-1.79
Se: 0.6825 0.9834 0.1896  3 O 1.64-1.79
O: 0.0148 0.1990 0.1436  2 B 1.38
O: 0.0148 0.3010 0.6436  2 B 1.38
O: 0.0342 0.5381 0.7860  1 B 1.49
O: 0.0342 0.9619 0.2860  1 B 1.49
O: 0.0351 0.2463 0.8882  2 B 1.39
O: 0.0351 0.2537 0.3882  2 B 1.39
O: 0.1184 0.6195 0.5721  2 B 1.36-1.47
O: 0.1184 0.8805 0.0721  2 B 1.36-1.47
O: 0.1291 0.6711 0.8346  2 B 1.35-1.47
O: 0.1291 0.8289 0.3346  2 B 1.35-1.47
O: 0.3831 0.5596 0.2123  1 Se 1.64
O: 0.3831 0.9404 0.7123  1 Se 1.64
O: 0.4914 0.0916 0.7193  1 B 1.48
O: 0.4914 0.4084 0.2193  1 B 1.48
O: 0.5086 0.5916 0.7807  1 B 1.48
O: 0.5086 0.9084 0.2807  1 B 1.48
O: 0.6169 0.0596 0.2877  1 Se 1.64
O: 0.6169 0.4404 0.7877  1 Se 1.64
O: 0.8709 0.1711 0.6654  2 B 1.35-1.47
O: 0.8709 0.3289 0.1654  2 B 1.35-1.47
O: 0.8816 0.1195 0.9279  2 B 1.36-1.47
O: 0.8816 0.3805 0.4279  2 B 1.36-1.47
O: 0.9649 0.7463 0.6118  2 B 1.39
O: 0.9649 0.7537 0.1118  2 B 1.39
O: 0.9658 0.0381 0.7140  1 B 1.49
O: 0.9658 0.4619 0.2140  1 B 1.49
O: 0.9852 0.6990 0.3564  2 B 1.38
O: 0.9852 0.8010 0.8564  2 B 1.38

---

K3SmB2O6: relaxed, PBEsol.

Results
**Calculated volume**: 14.747 A^3/atom
**Formation energy from raw total energies**: -29.87 eV per formula unit

abc: 8.9532 7.1155 11.1111
angles: 90.00 90.00 90.00
Closest atoms and distances in Å follow each position.
Fractional positions:
K: 0.0596 0.2500 0.1320  2 O 2.69-2.75
K: 0.1963 0.0025 0.4046  5 O 2.59-2.72
K: 0.1963 0.4975 0.4046  5 O 2.59-2.72
K: 0.3037 0.5025 0.9046  5 O 2.59-2.72
K: 0.3037 0.9975 0.9046  5 O 2.59-2.72
K: 0.4404 0.7500 0.6320  2 O 2.69-2.75
K: 0.5596 0.2500 0.3680  2 O 2.69-2.75
K: 0.6963 0.0025 0.0954  5 O 2.59-2.72
K: 0.6963 0.4975 0.0954  5 O 2.59-2.72
K: 0.8037 0.5025 0.5954  5 O 2.59-2.72
K: 0.8037 0.9975 0.5954  5 O 2.59-2.72
K: 0.9404 0.7500 0.8680  2 O 2.69-2.75
Sm: 0.1278 0.2500 0.6702  7 O 2.33-2.43
Sm: 0.3722 0.7500 0.1702  7 O 2.33-2.43
Sm: 0.6278 0.2500 0.8298  7 O 2.33-2.43
Sm: 0.8722 0.7500 0.3298  7 O 2.33-2.43
B: 0.0612 0.7500 0.1253  3 O 1.37-1.41
B: 0.0887 0.7500 0.6158  3 O 1.39
B: 0.4113 0.2500 0.1158  3 O 1.39
B: 0.4388 0.2500 0.6253  3 O 1.37-1.41
B: 0.5612 0.7500 0.3747  3 O 1.37-1.41
B: 0.5887 0.7500 0.8842  3 O 1.39
B: 0.9113 0.2500 0.3842  3 O 1.39
B: 0.9388 0.2500 0.8747  3 O 1.37-1.41
O: 0.0078 0.7500 0.5087  1 B 1.39
O: 0.0916 0.2500 0.8863  1 B 1.37
O: 0.1201 0.7500 0.2429  1 B 1.41
O: 0.1279 0.5801 0.6697  1 B 1.39
O: 0.1279 0.9199 0.6697  1 B 1.39
O: 0.1615 0.7500 0.0318  1 B 1.37
O: 0.3385 0.2500 0.5318  1 B 1.37
O: 0.3721 0.0801 0.1697  1 B 1.39
O: 0.3721 0.4199 0.1697  1 B 1.39
O: 0.3799 0.2500 0.7429  1 B 1.41
O: 0.4084 0.7500 0.3863  1 B 1.37
O: 0.4922 0.2500 0.0087  1 B 1.39
O: 0.5078 0.7500 0.9913  1 B 1.39
O: 0.5916 0.2500 0.6137  1 B 1.37
O: 0.6201 0.7500 0.2571  1 B 1.41
O: 0.6279 0.5801 0.8303  1 B 1.39
O: 0.6279 0.9199 0.8303  1 B 1.39
O: 0.6615 0.7500 0.4682  1 B 1.37
O: 0.8385 0.2500 0.9682  1 B 1.37
O: 0.8721 0.0801 0.3303  1 B 1.39
O: 0.8721 0.4199 0.3303  1 B 1.39
O: 0.8799 0.2500 0.7571  1 B 1.41
O: 0.9084 0.7500 0.1137  1 B 1.37
O: 0.9922 0.2500 0.4913  1 B 1.39

---

KSr4B3O9: relaxed, PBEsol.

Results
**Calculated volume**: 13.236 A^3/atom
**Formation energy from raw total energies**: -47.44 eV per formula unit

abc: 11.0003 6.8786 6.8786
angles: 120.16 90.00 90.00
Closest atoms and distances in Å follow each position.
Fractional positions:
K: 0.2500 0.0825 0.9175  8 O 2.84-3.06, 3 B 2.97-3.03
K: 0.7500 0.9175 0.0825  8 O 2.84-3.06, 3 B 2.97-3.03
Sr: 0.0000 0.5470 0.5470  7 O 2.54-2.73
Sr: 0.0298 0.6861 0.1160  8 O 2.50-2.62
Sr: 0.2500 0.1221 0.4143  8 O 2.53-2.66
Sr: 0.4702 0.6861 0.1160  8 O 2.50-2.62
Sr: 0.5000 0.5470 0.5470  7 O 2.54-2.73
Sr: 0.5298 0.1160 0.6861  8 O 2.50-2.62
Sr: 0.7500 0.4143 0.1221  8 O 2.53-2.66
Sr: 0.9702 0.1160 0.6861  8 O 2.50-2.62
B: 0.0000 0.1175 0.1175  3 O 1.38-1.39
B: 0.2500 0.5190 0.8596  3 O 1.38-1.40
B: 0.2500 0.6976 0.4488  3 O 1.37-1.41
B: 0.5000 0.1175 0.1175  3 O 1.38-1.39
B: 0.7500 0.4488 0.6976  3 O 1.37-1.41
B: 0.7500 0.8596 0.5190  3 O 1.38-1.40
O: 0.0000 0.9165 0.9165  1 B 1.38
O: 0.0257 0.1197 0.3170  1 B 1.39
O: 0.1411 0.4010 0.7744  1 B 1.40
O: 0.1412 0.8200 0.4883  1 B 1.41
O: 0.2500 0.4741 0.3855  1 B 1.37
O: 0.2500 0.7399 0.0323  1 B 1.38
O: 0.3589 0.4010 0.7744  1 B 1.40
O: 0.3588 0.8200 0.4883  1 B 1.41
O: 0.4743 0.1197 0.3170  1 B 1.39
O: 0.5000 0.9165 0.9165  1 B 1.38
O: 0.5257 0.3170 0.1197  1 B 1.39
O: 0.6412 0.4883 0.8200  1 B 1.41
O: 0.6411 0.7744 0.4010  1 B 1.40
O: 0.7500 0.0323 0.7399  1 B 1.38
O: 0.7500 0.3855 0.4741  1 B 1.37
O: 0.8588 0.4883 0.8200  1 B 1.41
O: 0.8589 0.7744 0.4010  1 B 1.40
O: 0.9743 0.3170 0.1197  1 B 1.39

---

KSrB5O9: relaxed, PBEsol.

Results
**Calculated volume**: 11.808 A^3/atom
**Formation energy from raw total energies**: -41.46 eV per formula unit

abc: 6.6859 7.9540 14.2322
angles: 90.00 93.15 90.00
Closest atoms and distances in Å follow each position.
Fractional positions:
K: 0.0012 0.1540 0.1009  7 O 2.64-2.94
K: 0.0012 0.3460 0.6009  7 O 2.64-2.94
K: 0.9988 0.6540 0.3991  7 O 2.64-2.94
K: 0.9988 0.8460 0.8991  7 O 2.64-2.94
Sr: 0.4211 0.0146 0.7391  7 O 2.52-2.76
Sr: 0.4211 0.4854 0.2391  7 O 2.52-2.76
Sr: 0.5789 0.5146 0.7609  7 O 2.52-2.76
Sr: 0.5789 0.9854 0.2609  7 O 2.52-2.76
B: 0.0352 0.7162 0.6725  4 O 1.45-1.51
B: 0.0352 0.7838 0.1725  4 O 1.45-1.51
B: 0.1188 0.0052 0.3071  3 O 1.36-1.38
B: 0.1188 0.4948 0.8071  3 O 1.36-1.38
B: 0.3100 0.2239 0.3965  4 O 1.45-1.51
B: 0.3100 0.2761 0.8965  4 O 1.45-1.51
B: 0.3299 0.6942 0.5640  3 O 1.36-1.38
B: 0.3299 0.8058 0.0640  3 O 1.36-1.38
B: 0.4398 0.2135 0.0628  3 O 1.34-1.42
B: 0.4398 0.2865 0.5628  3 O 1.34-1.42
B: 0.5602 0.7135 0.4372  3 O 1.34-1.42
B: 0.5602 0.7865 0.9372  3 O 1.34-1.42
B: 0.6701 0.1942 0.9360  3 O 1.36-1.38
B: 0.6701 0.3058 0.4360  3 O 1.36-1.38
B: 0.6900 0.7239 0.1035  4 O 1.45-1.51
B: 0.6900 0.7761 0.6035  4 O 1.45-1.51
B: 0.8812 0.5052 0.1929  3 O 1.36-1.38
B: 0.8812 0.9948 0.6929  3 O 1.36-1.38
B: 0.9648 0.2162 0.8275  4 O 1.45-1.51
B: 0.9648 0.2838 0.3275  4 O 1.45-1.51
O: 0.0550 0.5991 0.1954  2 B 1.38-1.51
O: 0.0550 0.9009 0.6954  2 B 1.38-1.51
O: 0.1357 0.6762 0.5853  2 B 1.36-1.48
O: 0.1357 0.8238 0.0853  2 B 1.36-1.48
O: 0.1416 0.6341 0.7530  2 B 1.36-1.47
O: 0.1416 0.8659 0.2530  2 B 1.36-1.47
O: 0.1734 0.1663 0.8408  2 B 1.45-1.47
O: 0.1734 0.3337 0.3408  2 B 1.45-1.47
O: 0.2830 0.0483 0.3641  2 B 1.37-1.48
O: 0.2830 0.4517 0.8641  2 B 1.37-1.48
O: 0.2917 0.2366 0.4973  2 B 1.38-1.45
O: 0.2917 0.2634 0.9973  2 B 1.38-1.45
O: 0.3710 0.6719 0.4707  2 B 1.38-1.42
O: 0.3710 0.8281 0.9707  2 B 1.38-1.42
O: 0.4094 0.2030 0.1552  1 B 1.34
O: 0.4094 0.2970 0.6552  1 B 1.34
O: 0.4802 0.7332 0.6306  2 B 1.38-1.51
O: 0.4802 0.7668 0.1306  2 B 1.38-1.51
O: 0.5198 0.2332 0.8694  2 B 1.38-1.51
O: 0.5198 0.2668 0.3694  2 B 1.38-1.51
O: 0.5906 0.7030 0.3448  1 B 1.34
O: 0.5906 0.7970 0.8448  1 B 1.34
O: 0.6290 0.1719 0.0293  2 B 1.38-1.42
O: 0.6290 0.3281 0.5293  2 B 1.38-1.42
O: 0.7083 0.7366 0.0027  2 B 1.38-1.45
O: 0.7083 0.7634 0.5027  2 B 1.38-1.45
O: 0.7170 0.5483 0.1359  2 B 1.37-1.48
O: 0.7170 0.9517 0.6359  2 B 1.37-1.48
O: 0.8266 0.6663 0.6592  2 B 1.45-1.47
O: 0.8266 0.8337 0.1592  2 B 1.45-1.47
O: 0.8584 0.1341 0.7470  2 B 1.36-1.47
O: 0.8584 0.3659 0.2470  2 B 1.36-1.47
O: 0.8643 0.1762 0.9147  2 B 1.36-1.48
O: 0.8643 0.3238 0.4147  2 B 1.36-1.48
O: 0.9450 0.0991 0.3046  2 B 1.38-1.51
O: 0.9450 0.4009 0.8046  2 B 1.38-1.51

---

The highest calculated volume belongs to which entry?
K3SmB2O6

---

Which of these has the highest calculated volume?
K3SmB2O6

---

Which of these has the lowest formation energy from raw total energies?
KSr4B3O9